(1)
First-principles (PBE) data for a geometry-optimized Ba5DyTl6 structure, as listed in Alexandria.

Cell lengths 5.9401, 8.3069, 10.3598 Å; angles 66.37, 73.23, 90.00 degrees
Last column: nearest neighbours and their distance in Å.
Atoms (fractional coordinates):
Ba (0.3136, 0.8139, 0.3723)  8 Tl 3.53-3.77
Ba (0.0000, 0.5000, 0.0000)  8 Tl 3.59-3.85
Ba (0.6600, 0.6598, 0.6803)  8 Tl 3.78-3.86, 6 Ba 4.06-4.18
Ba (0.6864, 0.1861, 0.6277)  8 Tl 3.53-3.77
Ba (0.3400, 0.3402, 0.3197)  8 Tl 3.78-3.86, 6 Ba 4.06-4.18
Tl (0.8489, 0.0661, 0.3013)  1 Dy 3.26, 3 Ba 3.53-3.59, 1 Tl 3.60
Tl (0.1511, 0.3671, 0.6988)  1 Dy 3.26, 3 Ba 3.53-3.59, 1 Tl 3.60
Tl (0.1511, 0.9339, 0.6987)  1 Dy 3.26, 3 Ba 3.53-3.59, 1 Tl 3.60
Tl (0.4998, 0.2048, 0.9999)  1 Tl 3.40, 2 Dy 3.42, 4 Ba 3.76-3.78
Tl (0.8489, 0.6329, 0.3012)  1 Dy 3.26, 3 Ba 3.53-3.59, 1 Tl 3.60
Tl (0.5002, 0.7952, 0.0001)  1 Tl 3.40, 2 Dy 3.42, 4 Ba 3.76-3.78
Dy (0.0000, 0.0000, 0.0000)  8 Tl 3.26-3.42

Total energy: -2.750 eV per atom
M_tot: 0.0000 μB/atom
Crystal system: monoclinic
SG: C2/m
DOS at the Fermi energy: 8.12 states/eV per cell

=====

(2)
First-principles (PBE) data for a geometry-optimized BaDyTl structure, as listed in Alexandria.

Cell lengths 4.2400, 5.5140, 5.5140 Å; angles 120.00, 90.00, 90.00 degrees
Last column: nearest neighbours and their distance in Å.
Atoms (fractional coordinates):
Ba (0.6667, 0.3333, 0.6667)  6 Dy 3.82, 6 Tl 3.82, 2 Ba 4.24
Tl (0.1667, 0.0000, 0.0000)  3 Dy 3.18
Dy (0.1666, 0.6667, 0.3333)  3 Tl 3.18

Total energy: -3.051 eV per atom
Distance to the lowest polymorph of the same formula: 197 meV per atom
M_tot: 0.0001 μB/atom
Crystal system: hexagonal
SG: P-6m2
DOS at the Fermi energy: 4.19 states/eV per cell

=====

(3)
First-principles (PBE) data for a geometry-optimized Ba4DyTl5 structure, as listed in Alexandria.

Cell lengths 4.1262, 4.1262, 21.5885 Å; angles 90.00, 90.00, 90.00 degrees
Last column: nearest neighbours and their distance in Å.
Atoms (fractional coordinates):
Ba (0.0000, 0.0000, 0.6032)  8 Tl 3.66-3.67
Ba (0.0000, 0.0000, 0.1867)  8 Tl 3.73-3.75, 1 Dy 4.03, 4 Ba 4.13
Ba (0.0000, 0.0000, 0.8133)  8 Tl 3.73-3.75, 1 Dy 4.03, 4 Ba 4.13
Ba (0.0000, 0.0000, 0.3968)  8 Tl 3.66-3.67
Tl (0.5000, 0.5000, 0.2942)  8 Ba 3.66-3.73
Tl (0.5000, 0.5000, 0.5000)  8 Ba 3.67
Tl (0.5000, 0.5000, 0.9221)  1 Tl 3.36, 4 Dy 3.37, 4 Ba 3.75
Tl (0.5000, 0.5000, 0.7058)  8 Ba 3.66-3.73
Tl (0.5000, 0.5000, 0.0779)  1 Tl 3.36, 4 Dy 3.37, 4 Ba 3.75
Dy (0.0000, 0.0000, 0.0000)  8 Tl 3.37

Total energy: -2.783 eV per atom
M_tot: 0.0000 μB/atom
Crystal system: tetragonal
SG: P4/mmm
DOS at the Fermi energy: 8.68 states/eV per cell

=====

(4)
First-principles (PBE) data for a geometry-optimized Ba3DyTl12 structure, as listed in Alexandria.

Cell lengths 5.0579, 5.0579, 20.2394 Å; angles 90.00, 90.00, 90.00 degrees
Last column: nearest neighbours and their distance in Å.
Atoms (fractional coordinates):
Ba (0.0000, 0.0000, 0.7644)  12 Tl 3.59-3.73
Ba (0.0000, 0.0000, 0.2356)  12 Tl 3.59-3.73
Ba (0.0000, 0.0000, 0.5000)  12 Tl 3.58-3.63
Tl (0.0000, 0.5000, 0.1094)  2 Dy 3.36, 6 Tl 3.36-3.58, 2 Ba 3.59
Tl (0.5000, 0.5000, 0.2616)  4 Tl 3.36, 4 Ba 3.61
Tl (0.5000, 0.0000, 0.8906)  6 Tl 3.36-3.58, 2 Dy 3.36, 2 Ba 3.59
Tl (0.5000, 0.5000, 0.0000)  8 Tl 3.36, 4 Dy 3.58
Tl (0.0000, 0.5000, 0.8906)  2 Dy 3.36, 6 Tl 3.36-3.58, 2 Ba 3.59
Tl (0.5000, 0.0000, 0.1094)  6 Tl 3.36-3.58, 2 Dy 3.36, 2 Ba 3.59
Tl (0.5000, 0.0000, 0.3711)  8 Tl 3.36-3.63, 4 Ba 3.63-3.73
Tl (0.5000, 0.5000, 0.7384)  4 Tl 3.36, 4 Ba 3.61
Tl (0.0000, 0.5000, 0.6289)  8 Tl 3.36-3.63, 4 Ba 3.63-3.73
Tl (0.5000, 0.0000, 0.6289)  8 Tl 3.36-3.63, 4 Ba 3.63-3.73
Tl (0.5000, 0.5000, 0.5000)  4 Ba 3.58, 8 Tl 3.63
Tl (0.0000, 0.5000, 0.3711)  8 Tl 3.36-3.63, 4 Ba 3.63-3.73
Dy (0.0000, 0.0000, 0.0000)  12 Tl 3.36-3.58

Total energy: -2.663 eV per atom
M_tot: 0.0000 μB/atom
Crystal system: tetragonal
SG: P4/mmm
DOS at the Fermi energy: 10.24 states/eV per cell

=====

(5)
First-principles (PBE) data for a geometry-optimized BaDyTl structure, as listed in Alexandria.

Cell lengths 4.0311, 4.0311, 7.5037 Å; angles 105.58, 105.58, 90.00 degrees
Last column: nearest neighbours and their distance in Å.
Atoms (fractional coordinates):
Tl (0.6926, 0.6926, 0.3853)  4 Dy 3.17
Dy (0.2933, 0.2933, 0.5866)  4 Tl 3.17
Ba (0.0141, 0.0141, 0.0281)  4 Tl 3.78, 5 Dy 3.88-4.19, 4 Ba 4.03

Total energy: -3.106 eV per atom
Distance to the lowest polymorph of the same formula: 141 meV per atom
M_tot: 0.0001 μB/atom
Crystal system: tetragonal
SG: I4mm
DOS at the Fermi energy: 3.88 states/eV per cell

=====

(6)
First-principles (PBE) data for a geometry-optimized BaDyTl4 structure, as listed in Alexandria.

Cell lengths 6.4315, 6.4315, 6.4315 Å; angles 60.00, 60.00, 60.00 degrees
Last column: nearest neighbours and their distance in Å.
Atoms (fractional coordinates):
Ba (0.2500, 0.2500, 0.2500)  12 Tl 3.77, 4 Dy 3.94
Tl (0.6254, 0.6254, 0.6254)  6 Tl 3.21-3.23
Tl (0.6254, 0.1239, 0.6254)  6 Tl 3.21-3.23
Tl (0.6254, 0.6254, 0.1239)  6 Tl 3.21-3.23
Tl (0.1239, 0.6254, 0.6254)  6 Tl 3.21-3.23
Dy (0.0000, 0.0000, 0.0000)  12 Tl 3.77, 4 Ba 3.94

Total energy: -2.785 eV per atom
Distance to the lowest polymorph of the same formula: 0 meV per atom
M_tot: 0.0000 μB/atom
Crystal system: cubic
SG: F-43m
DOS at the Fermi energy: 5.33 states/eV per cell

=====

(7)
First-principles (PBE) data for a geometry-optimized BaDyTl4 structure, as listed in Alexandria.

Cell lengths 5.1630, 5.1630, 8.5115 Å; angles 90.00, 90.00, 90.00 degrees
Last column: nearest neighbours and their distance in Å.
Atoms (fractional coordinates):
Tl (0.5000, 0.0000, 0.2964)  2 Dy 3.11, 1 Tl 3.47
Tl (0.5000, 0.0000, 0.7036)  2 Dy 3.11, 1 Tl 3.47
Tl (0.0000, 0.5000, 0.7036)  2 Dy 3.11, 1 Tl 3.47
Tl (0.0000, 0.5000, 0.2964)  2 Dy 3.11, 1 Tl 3.47
Dy (0.5000, 0.5000, 0.5000)  8 Tl 3.11
Ba (0.0000, 0.0000, 0.0000)  8 Tl 3.61

Total energy: -2.717 eV per atom
Distance to the lowest polymorph of the same formula: 68 meV per atom
M_tot: 0.0000 μB/atom
Crystal system: tetragonal
SG: P4/mmm
DOS at the Fermi energy: 5.70 states/eV per cell

=====

(8)
First-principles (PBE) data for a geometry-optimized BaDy2Tl3 structure, as listed in Alexandria.

Cell lengths 3.8949, 3.8949, 12.1954 Å; angles 90.00, 90.00, 90.00 degrees
Last column: nearest neighbours and their distance in Å.
Atoms (fractional coordinates):
Ba (0.5000, 0.5000, 0.5000)  8 Tl 3.69, 4 Ba 3.89
Dy (0.5000, 0.5000, 0.1525)  8 Tl 3.28-3.32
Dy (0.5000, 0.5000, 0.8475)  8 Tl 3.28-3.32
Tl (0.0000, 0.0000, 0.0000)  8 Dy 3.32, 2 Tl 3.64
Tl (0.0000, 0.0000, 0.7012)  4 Dy 3.28, 1 Tl 3.64
Tl (0.0000, 0.0000, 0.2988)  4 Dy 3.28, 1 Tl 3.64

Total energy: -3.392 eV per atom
M_tot: 0.0000 μB/atom
Crystal system: tetragonal
SG: P4/mmm
DOS at the Fermi energy: 3.21 states/eV per cell